# 1
# Cs2Zr3TlO8 (PBE-GGA, relaxed)
# DOS(E_F), states/eV/atom: 0.197
# Space-group type: R3m (160)
# Magnetic moment, μB per formula unit: 1.02
data_Cs2Zr3TlO8
_chemical_formula_sum 'Cs2 Zr3 Tl1 O8'
_space_group_name_H-M_alt 'P 1'
_space_group_IT_number 1
_cell_length_a 8.2476
_cell_length_b 8.2476
_cell_length_c 8.2476
_cell_angle_alpha 47.53
_cell_angle_beta 47.53
_cell_angle_gamma 47.53
loop_
_space_group_symop_operation_xyz
'x,y,z'
loop_
_atom_site_label
_atom_site_fract_x
_atom_site_fract_y
_atom_site_fract_z
Cs1 0.0000 0.0000 0.0000
Cs2 0.3663 0.3663 0.3663
Zr1 0.3639 0.3639 0.8740
Zr2 0.3639 0.8740 0.3639
Zr3 0.8740 0.3639 0.3639
Tl1 0.7789 0.7789 0.7789
O1 0.0986 0.0986 0.5430
O2 0.0986 0.5430 0.0986
O3 0.1479 0.1479 0.1479
O4 0.1811 0.6292 0.6292
O5 0.5430 0.0986 0.0986
O6 0.5784 0.5784 0.5784
O7 0.6292 0.1811 0.6292
O8 0.6292 0.6292 0.1811

=====

# 2
# CsZr3Tl2O8 (PBE-GGA, relaxed)
# DOS(E_F), states/eV/atom: 0.159
# Space-group type: R3m (160)
# Magnetic moment, μB per formula unit: 1.03
data_CsZr3Tl2O8
_chemical_formula_sum 'Cs1 Zr3 Tl2 O8'
_space_group_name_H-M_alt 'P 1'
_space_group_IT_number 1
_cell_length_a 8.2774
_cell_length_b 8.2774
_cell_length_c 8.2774
_cell_angle_alpha 47.20
_cell_angle_beta 47.20
_cell_angle_gamma 47.20
loop_
_space_group_symop_operation_xyz
'x,y,z'
loop_
_atom_site_label
_atom_site_fract_x
_atom_site_fract_y
_atom_site_fract_z
Cs1 0.0000 0.0000 0.0000
Zr1 0.3613 0.3613 0.8748
Zr2 0.3613 0.8748 0.3613
Zr3 0.8748 0.3613 0.3613
Tl1 0.3881 0.3881 0.3881
Tl2 0.7744 0.7744 0.7744
O1 0.0892 0.0892 0.5466
O2 0.0892 0.5466 0.0892
O3 0.1462 0.1462 0.1462
O4 0.1809 0.6212 0.6212
O5 0.5466 0.0892 0.0892
O6 0.5746 0.5746 0.5746
O7 0.6212 0.1809 0.6212
O8 0.6212 0.6212 0.1809

=====

Summary of energy relative to the elements, uncorrected in eV per atom
-2.48 -2.37
(order as listed above)